No. 1
The following is a PBE calculation of an optimized crystal structure of RbReSi2, from Alexandria via LeMat-Bulk.

a = 4.725 Å, b = 4.725 Å, c = 4.725 Å
α = 60.00°, β = 60.00°, γ = 60.00°
Sites, in units of the cell vectors:
Si1 0.250 0.250 0.250
Si2 0.750 0.750 0.750
Re1 0.500 0.500 0.500
Rb1 0.000 0.000 0.000

Summary:
- Crystal system: cubic
- Space group: Fm-3m, No. 225
- Offset from the most stable computed form: 976.5 meV per atom

***

No. 2
The following is a PBE calculation of an optimized crystal structure of RbRe3Si, from Alexandria via LeMat-Bulk.

a = 4.642 Å, b = 4.642 Å, c = 4.642 Å
α = 90.00°, β = 90.00°, γ = 90.00°
Sites, in units of the cell vectors:
Re1 0.500 0.000 0.000
Rb1 0.500 0.500 0.500
Si1 0.000 0.000 0.000
Re2 0.000 0.500 0.000
Re3 0.000 0.000 0.500

Summary:
- Crystal system: cubic
- Space group: Pm-3m, No. 221
- Offset from the most stable computed form: 0.0 meV per atom

***

No. 3
The following is a PBE calculation of an optimized crystal structure of RbReSi2Sn, from Alexandria via LeMat-Bulk.

a = 5.387 Å, b = 5.240 Å, c = 5.387 Å
α = 90.00°, β = 90.00°, γ = 90.00°
Sites, in units of the cell vectors:
Si1 0.000 0.000 0.500
Sn1 0.000 0.000 0.000
Re1 0.000 0.500 0.000
Si2 0.500 0.000 0.000
Rb1 0.500 0.500 0.500

Summary:
- Crystal system: tetragonal
- Space group: P4/mmm, No. 123

***

No. 4
The following is a PBE calculation of an optimized crystal structure of RbReSi2Te, from Alexandria via LeMat-Bulk.

a = 5.329 Å, b = 6.414 Å, c = 5.329 Å
α = 90.00°, β = 90.00°, γ = 90.00°
Sites, in units of the cell vectors:
Te1 0.000 0.000 0.000
Re1 0.500 0.500 0.500
Si1 0.000 0.000 0.500
Si2 0.500 0.000 0.000
Rb1 0.000 0.500 0.000

Summary:
- Crystal system: tetragonal
- Space group: P4/mmm, No. 123

***

No. 5
The following is a PBE calculation of an optimized crystal structure of RbZrReSi2, from Alexandria via LeMat-Bulk.

a = 4.867 Å, b = 4.858 Å, c = 4.867 Å
α = 90.00°, β = 90.00°, γ = 90.00°
Sites, in units of the cell vectors:
Zr1 0.000 0.500 0.000
Rb1 0.000 0.000 0.000
Si1 0.500 0.000 0.000
Si2 0.000 0.000 0.500
Re1 0.500 0.500 0.500

Summary:
- Crystal system: tetragonal
- Space group: P4/mmm, No. 123

***

No. 6
The following is a PBE calculation of an optimized crystal structure of RbZr2ReSi, from Alexandria via LeMat-Bulk.

a = 5.035 Å, b = 5.666 Å, c = 5.035 Å
α = 90.00°, β = 90.00°, γ = 90.00°
Sites, in units of the cell vectors:
Rb1 0.000 0.500 0.000
Zr1 0.500 0.000 0.000
Re1 0.500 0.500 0.500
Zr2 0.000 0.000 0.500
Si1 0.000 0.000 0.000

Summary:
- Crystal system: tetragonal
- Space group: P4/mmm, No. 123

***

Ordered E_tot results: -4.8064, -6.8337, -4.0962, -3.4585, -3.4501, -5.5872; unit eV/atom.
Ordered uncorrected formation energy results: 5.036, 9.567, 7.783, 10.111, 15.559, 7.999; unit eV per formula unit.